Material: FeCo2Os
Method: DFT, PBE
State: relaxed

Unit cell a=4.391 b=4.391 c=4.392 alpha=131.74 beta=131.74 gamma=70.62
Fractional coordinates of all 4 atoms:
Co (0.750, 0.250, 0.500)
Co (0.000, 0.000, 0.000)
Fe (0.500, 0.500, 0.000)
Os (0.250, 0.750, 0.500)

Output
Polymorph energy (0 for the lowest one): 16 meV per atom
Energy relative to the elements: 0.110 eV/atom
Symmetry: I-4m2, No. 119
Total magnetic moment: 0.68 μB per atom

=====

Material: UPaH4
Method: DFT, PBE
State: relaxed

Unit cell a=3.965 b=3.543 c=5.829 alpha=94.37 beta=89.92 gamma=124.29
Fractional coordinates of all 6 atoms:
H (0.872, 0.746, 0.624)
H (0.376, 0.754, 0.123)
H (0.624, 0.246, 0.877)
H (0.128, 0.254, 0.376)
U (0.500, 0.000, 0.500)
Pa (0.000, 0.000, 0.000)

Output
Calculated total energy: -5.901 eV/atom
Symmetry: P-1, No. 2
Total magnetic moment: 0.53 μB per atom

=====

Material: Hf3VSn
Method: DFT, PBE
State: relaxed

Unit cell a=3.246 b=7.921 c=8.425 alpha=95.72 beta=90.04 gamma=101.86
Fractional coordinates of all 10 atoms:
Hf (0.770, 0.575, 0.404)
Hf (0.967, 0.969, 0.976)
Hf (0.274, 0.580, 0.017)
Hf (0.077, 0.185, 0.446)
Hf (0.614, 0.262, 0.782)
Hf (0.430, 0.892, 0.640)
Sn (0.624, 0.280, 0.146)
Sn (0.420, 0.874, 0.276)
V (0.817, 0.667, 0.778)
V (0.227, 0.487, 0.643)

Output
Polymorph energy (0 for the lowest one): 0 meV per atom
Energy relative to the elements: -0.058 eV/atom
Symmetry: P-1, No. 2
Total magnetic moment: 0.00 μB per atom

=====

Material: Tb5Pr2Sc2
Method: DFT, PBE
State: relaxed

Unit cell a=8.556 b=6.996 c=11.119 alpha=108.34 beta=112.63 gamma=90.00
Fractional coordinates of all 18 atoms:
Sc (0.594, 0.995, 0.920)
Sc (0.825, 0.495, 0.920)
Sc (0.406, 0.075, 0.080)
Sc (0.175, 0.575, 0.080)
Tb (0.416, 0.449, 0.328)
Tb (0.412, 0.949, 0.328)
Tb (0.584, 0.121, 0.672)
Tb (0.588, 0.621, 0.672)
Tb (0.167, 0.170, 0.783)
Tb (0.794, 0.279, 0.500)
Tb (0.885, 0.887, 0.217)
Tb (0.115, 0.670, 0.783)
Tb (0.833, 0.387, 0.217)
Tb (0.206, 0.779, 0.500)
Pr (0.192, 0.285, 0.500)
Pr (0.500, 0.574, 0.000)
Pr (0.000, 0.074, 0.000)
Pr (0.808, 0.785, 0.500)

Output
Polymorph energy (0 for the lowest one): 167 meV per atom
Energy relative to the elements: 0.209 eV/atom
Symmetry: Ima2, No. 46
Total magnetic moment: 0.00 μB per atom

=====

Material: CaHoScIn
Method: DFT, PBE
State: relaxed

Unit cell a=5.353 b=5.353 c=5.353 alpha=60.00 beta=60.00 gamma=60.00
Fractional coordinates of all 4 atoms:
Sc (0.750, 0.750, 0.750)
Ca (0.500, 0.500, 0.500)
In (0.000, 0.000, 0.000)
Ho (0.250, 0.250, 0.250)

Output
Energy relative to the elements: -0.097 eV/atom
Symmetry: F-43m, No. 216
Total magnetic moment: 0.00 μB per atom

=====

Material: Na2TiInTe5
Method: DFT, PBE
State: relaxed

Unit cell a=3.956 b=9.831 c=15.183 alpha=90.00 beta=90.00 gamma=101.61
Fractional coordinates of all 18 atoms:
Te (0.073, 0.146, 0.053)
Te (0.717, 0.434, 0.909)
Te (0.272, 0.543, 0.673)
Te (0.361, 0.722, 0.995)
Te (0.283, 0.566, 0.409)
Te (0.639, 0.278, 0.495)
Te (0.927, 0.854, 0.553)
Te (0.728, 0.457, 0.173)
Te (0.499, 0.998, 0.761)
Te (0.501, 0.002, 0.261)
Na (0.130, 0.259, 0.313)
Na (0.870, 0.741, 0.813)
Na (0.100, 0.199, 0.653)
Na (0.900, 0.801, 0.153)
Ti (0.773, 0.545, 0.547)
Ti (0.227, 0.455, 0.047)
In (0.570, 0.139, 0.919)
In (0.430, 0.861, 0.419)

Output
Symmetry: Cmc2_1, No. 36
Formation energy without anion corrections: -0.56 eV per atom
Total magnetic moment: 0.00 μB per atom